PmMgRh2 | Alexandria via LeMat-Bulk | PBE | relaxed; calculated volume = 74 Å³/cell; E = -5.83 eV per atom; E_form = -54.9 kJ/mol of atoms; space group = P4/mmm; N(E_F) = 0.490 states/eV per atom; offset from the most stable computed form = 0.041 eV/atom
1.0
3.3674 0.0000 0.0000
0.0000 3.3674 0.0000
0.0000 0.0000 6.5194
Pm Mg Rh
1 1 2
direct
0.0000 0.0000 0.0000
0.0000 0.0000 0.5000
0.5000 0.5000 0.2738
0.5000 0.5000 0.7262

=====

SrSc2Be | Alexandria via LeMat-Bulk | PBE | relaxed; calculated volume = 98 Å³/cell; E = -3.99 eV per atom; E_form = 50.9 kJ/mol of atoms; space group = I-4m2; N(E_F) = 0.958 states/eV per atom
1.0
-2.3520 2.3520 4.4287
2.3520 -2.3520 4.4287
2.3520 2.3520 -4.4287
Sr Sc Be
1 2 1
direct
0.0000 0.0000 0.0000
0.5000 0.5000 0.0000
0.7500 0.2500 0.5000
0.2500 0.7500 0.5000

=====

MgSb2IO | Alexandria via LeMat-Bulk | PBE | relaxed; calculated volume = 137 Å³/cell; E = -3.37 eV per atom; space group = P4/mmm; N(E_F) = 0.666 states/eV per atom; offset from the most stable computed form = 0.000 eV/atom
1.0
4.4878 0.0000 0.0000
0.0000 4.4878 0.0000
0.0000 0.0000 6.8232
Mg Sb I O
1 2 1 1
direct
0.0000 0.0000 0.0000
0.0000 0.5000 0.5000
0.5000 0.0000 0.5000
0.5000 0.5000 0.0000
0.5000 0.5000 0.5000

=====

TbYCoAu | Alexandria via LeMat-Bulk | PBE | relaxed; calculated volume = 86 Å³/cell; E = -5.80 eV per atom; E_form = -41.5 kJ/mol of atoms; space group = F-43m; N(E_F) = 0.754 states/eV per atom
1.0
0.0000 3.5011 3.5011
3.5011 0.0000 3.5011
3.5011 3.5011 0.0000
Tb Y Co Au
1 1 1 1
direct
0.0000 0.0000 0.0000
0.5000 0.5000 0.5000
0.2500 0.2500 0.2500
0.7500 0.7500 0.7500

=====

DyHfZnRh | Alexandria via LeMat-Bulk | PBE | relaxed; calculated volume = 78 Å³/cell; E = -6.26 eV per atom; E_form = -44.9 kJ/mol of atoms; space group = F-43m; N(E_F) = 1.015 states/eV per atom
1.0
0.0000 3.3902 3.3902
3.3902 0.0000 3.3902
3.3902 3.3902 0.0000
Dy Hf Zn Rh
1 1 1 1
direct
0.0000 0.0000 0.0000
0.5000 0.5000 0.5000
0.7500 0.7500 0.7500
0.2500 0.2500 0.2500

=====

CdGaHg3Pb | Alexandria via LeMat-Bulk | PBE | relaxed; calculated volume = 304 Å³/cell; E = -1.37 eV per atom; E_form = 5.3 kJ/mol of atoms; space group = P2_1/m; N(E_F) = 0.310 states/eV per atom
1.0
8.9959 0.0000 0.0000
0.0000 3.5356 0.0000
-2.8229 0.0000 9.5459
Cd Ga Hg Pb
2 2 6 2
direct
0.1082 0.2500 0.1111
0.8918 0.7500 0.8889
0.3257 0.7500 0.3381
0.6743 0.2500 0.6619
0.1097 0.2500 0.4366
0.3938 0.7500 0.0655
0.4092 0.7500 0.6421
0.5908 0.2500 0.3579
0.6062 0.2500 0.9345
0.8903 0.7500 0.5634
0.1784 0.2500 0.7807
0.8216 0.7500 0.2193

=====

Ti3CuSe4 | Alexandria via LeMat-Bulk | PBE | relaxed; calculated volume = 347 Å³/cell; E = -5.88 eV per atom; space group = Pmn2_1; N(E_F) = 0.630 states/eV per atom
1.0
7.9810 0.0000 0.0000
0.0000 6.8829 0.0000
0.0000 0.0000 6.3115
Ti Cu Se
6 2 8
direct
0.0000 0.2174 0.0000
0.2134 0.8627 0.0742
0.2866 0.1373 0.5742
0.5000 0.7826 0.5000
0.7134 0.1373 0.5742
0.7866 0.8627 0.0742
0.0000 0.6784 0.4680
0.5000 0.3216 0.9680
0.0000 0.3091 0.6214
0.0000 0.6002 0.1091
0.2269 0.7925 0.6827
0.2731 0.2075 0.1827
0.5000 0.3998 0.6091
0.5000 0.6909 0.1214
0.7269 0.2075 0.1827
0.7731 0.7925 0.6827

=====

LiUGa | Alexandria via LeMat-Bulk | PBE | relaxed; calculated volume = 126 Å³/cell; E = -5.22 eV per atom; E_form = 17.9 kJ/mol of atoms; space group = Fmmm; N(E_F) = 1.611 states/eV per atom
1.0
0.0000 3.5249 6.5768
2.7114 0.0000 6.5768
2.7114 3.5249 0.0000
Li U Ga
2 2 2
direct
0.1685 0.8315 0.1685
0.8315 0.1685 0.8315
0.2500 0.2500 0.2500
0.7500 0.7500 0.7500
0.4046 0.4046 0.5954
0.5954 0.5954 0.4046

=====

La2TbY5 | Alexandria via LeMat-Bulk | PBE | relaxed; calculated volume = 535 Å³/cell; E = -5.70 eV per atom; E_form = 14.6 kJ/mol of atoms; space group = C2/c; N(E_F) = 1.616 states/eV per atom; offset from the most stable computed form = 0.017 eV/atom
1.0
8.0920 -4.9945 0.0000
8.0920 4.9945 0.0000
-1.0778 0.0000 6.6158
La Tb Y
4 2 10
direct
0.1713 0.6724 0.8851
0.3276 0.8287 0.6149
0.6724 0.1713 0.3851
0.8287 0.3276 0.1149
0.0000 0.5000 0.0000
0.5000 0.0000 0.5000
0.0188 0.1847 0.6542
0.1847 0.0188 0.1542
0.2128 0.3915 0.4691
0.3915 0.2128 0.9691
0.4319 0.5681 0.2500
0.5681 0.4319 0.7500
0.6085 0.7872 0.0309
0.7872 0.6085 0.5309
0.8153 0.9812 0.8458
0.9812 0.8153 0.3458

=====

MoAuBr2 | Alexandria via LeMat-Bulk | PBE | relaxed; calculated volume = 92 Å³/cell; E = -4.17 eV per atom; space group = R-3m; N(E_F) = 0.906 states/eV per atom; offset from the most stable computed form = 0.113 eV/atom
1.0
1.6006 0.9241 10.3850
-1.6006 0.9241 10.3850
0.0000 -1.8482 10.3850
Mo Au Br
1 1 2
direct
0.0000 0.0000 0.0000
0.5000 0.5000 0.5000
0.2741 0.2741 0.2741
0.7259 0.7259 0.7259

=====

Ag3GeF6 | Alexandria via LeMat-Bulk | PBE | relaxed; calculated volume = 295 Å³/cell; E = -4.00 eV per atom; space group = Pnnm; N(E_F) = 0.191 states/eV per atom; offset from the most stable computed form = 0.000 eV/atom
1.0
5.1047 0.0000 0.0000
0.0000 7.0536 0.0000
0.0000 0.0000 8.1811
Ag Ge F
6 2 12
direct
0.0000 0.0000 0.0000
0.0000 0.5000 0.3251
0.0000 0.5000 0.6749
0.5000 0.0000 0.1749
0.5000 0.0000 0.8251
0.5000 0.5000 0.5000
0.0000 0.0000 0.5000
0.5000 0.5000 0.0000
0.1485 0.1510 0.3386
0.1485 0.1510 0.6614
0.2104 0.3497 0.0000
0.2896 0.8497 0.5000
0.3515 0.6510 0.1614
0.3515 0.6510 0.8386
0.6485 0.3490 0.1614
0.6485 0.3490 0.8386
0.7104 0.1503 0.5000
0.7896 0.6503 0.0000
0.8515 0.8490 0.3386
0.8515 0.8490 0.6614

=====

Ac2CdRh | Alexandria via LeMat-Bulk | PBE | relaxed; calculated volume = 252 Å³/cell; E = -4.62 eV per atom; E_form = -48.0 kJ/mol of atoms; space group = P2_1/m; N(E_F) = 0.813 states/eV per atom
1.0
6.3402 0.0000 0.0000
0.0000 4.4743 0.0000
-3.1234 0.0000 8.8844
Ac Cd Rh
4 2 2
direct
0.2155 0.2500 0.1511
0.2494 0.2500 0.7385
0.7506 0.7500 0.2615
0.7845 0.7500 0.8489
0.3335 0.7500 0.4640
0.6665 0.2500 0.5360
0.3099 0.7500 0.9609
0.6901 0.2500 0.0391